Below is a relaxed Tb2Pr5HoTm crystal, with properties calculated at the PBE-GGA level.

## Properties
VASP energy: -0.3346 Ry per atom
symmetry: No. 36
energy of formation: 0.138 eV per atom

Cell lengths 5.663, 10.691, 10.724 Å; angles 90.00, 90.00, 105.36 degrees
Fractional positions:
Tb1 0.886 0.771 0.805
Tb2 0.113 0.227 0.739
Tb3 0.114 0.229 0.305
Tb4 0.887 0.773 0.239
Pr1 0.381 0.762 0.020
Pr2 0.721 0.443 0.814
Pr3 0.485 0.971 0.746
Pr4 0.295 0.591 0.707
Pr5 0.985 0.970 0.515
Pr6 0.619 0.238 0.520
Pr7 0.279 0.557 0.314
Pr8 0.515 0.029 0.246
Pr9 0.705 0.409 0.207
Pr10 0.015 0.030 0.015
Ho1 0.595 0.189 0.967
Ho2 0.405 0.811 0.467
Tm1 0.802 0.604 0.511
Tm2 0.198 0.396 0.011

Below is a relaxed DyBe2SiPt4 crystal, with properties calculated at the PBE-GGA level.

## Properties
VASP energy: -0.4413 Ry per atom
symmetry: No. 166
formation energy (no corrections): -0.80 eV per atom

Cell lengths 4.047, 4.047, 9.058 Å; angles 77.09, 77.09, 60.00 degrees
Fractional positions:
Dy1 0.000 0.000 0.000
Be1 0.747 0.747 0.760
Be2 0.253 0.253 0.240
Si1 0.500 0.500 0.500
Pt1 0.406 0.406 0.783
Pt2 0.865 0.865 0.404
Pt3 0.135 0.135 0.596
Pt4 0.594 0.594 0.217

Below is a relaxed KTaBr2 crystal, with properties calculated at the PBE-GGA level.

## Properties
VASP energy: -0.2973 Ry per atom
symmetry: No. 44
energy above the most stable polymorph in this dataset: 162 meV/atom
formation energy (no corrections): 0.03 eV per atom

Cell lengths 7.714, 7.714, 7.714 Å; angles 154.98, 144.23, 44.15 degrees
Last column: magnetic moment on the atom in μB.
Fractional positions:
Br1 0.065 0.065 0.000  0.03
Br2 0.758 0.258 0.500  0.01
K1 0.453 0.453 0.000  0.04
Ta1 0.224 0.724 0.500  1.46

Below is a relaxed SmZrPtRh crystal, with properties calculated at the PBE-GGA level.

## Properties
VASP energy: -0.5474 Ry per atom
symmetry: No. 216
energy of formation: -0.783 eV per atom

Cell lengths 4.849, 4.849, 4.849 Å; angles 60.00, 60.00, 60.00 degrees
Fractional positions:
Zr1 0.750 0.750 0.750
Rh1 0.500 0.500 0.500
Sm1 0.250 0.250 0.250
Pt1 0.000 0.000 0.000

> Number 2 is which compound?

DyBe2SiPt4

> Look up the VASP energy of the first one.

-0.3346 Ry per atom

> Look up the VASP energy of the third one.

-0.2973 Ry per atom